No. 1
The following is a DFT calculation (GGA-PBE) of UPa2ZnN5 after structural relaxation.

abc: 6.9357 6.9357 10.5442
angles: 90.00 90.00 151.42
Closest atoms and distances in Å follow each position.
Positions (direct):
U 0.1980 0.8020 0.5000  6 N 2.13-2.36
U 0.8020 0.1980 0.0000  6 N 2.13-2.36
Pa 0.1215 0.8785 0.1941  6 N 2.32-2.58
Pa 0.1304 0.8696 0.7867  6 N 2.34-2.54
Pa 0.8696 0.1304 0.2867  6 N 2.34-2.54
Pa 0.8785 0.1215 0.6941  6 N 2.32-2.58
Zn 0.4963 0.5037 0.9836  4 N 2.03-2.07
Zn 0.5037 0.4963 0.4836  4 N 2.03-2.07
N 0.0448 0.9552 0.5721  2 Zn 2.03, 1 U 2.20
N 0.2907 0.7093 0.1528  3 Pa 2.32-2.46, 2 U 2.36
N 0.3001 0.6999 0.8459  2 U 2.36, 3 Pa 2.37-2.57
N 0.3546 0.6454 0.5322  1 Zn 2.07, 1 U 2.13
N 0.4877 0.5123 0.2902  1 Zn 2.05
N 0.5123 0.4877 0.7902  1 Zn 2.05
N 0.6454 0.3546 0.0322  1 Zn 2.07, 1 U 2.13
N 0.6999 0.3001 0.3459  2 U 2.36, 3 Pa 2.37-2.57
N 0.7093 0.2907 0.6528  3 Pa 2.32-2.46, 2 U 2.36
N 0.9552 0.0448 0.0721  2 Zn 2.03, 1 U 2.20

Calculated values
- formation energy from raw total energies (kcal/mol of atoms) = -25.91

No. 2
The following is a DFT calculation (GGA-PBE) of ZrU3Pa2N6 after structural relaxation.

abc: 5.9553 5.9553 5.9427
angles: 99.60 99.60 120.03
Closest atoms and distances in Å follow each position.
Positions (direct):
Zr 0.0000 0.0000 0.0000  6 N 2.37
U 0.1658 0.8342 0.5000  6 N 2.40-2.50
U 0.5000 0.5000 0.5000  6 N 2.42-2.48
U 0.8342 0.1658 0.5000  6 N 2.40-2.50
Pa 0.3334 0.6666 0.0000  6 N 2.44-2.45
Pa 0.6666 0.3334 0.0000  6 N 2.44-2.45
N 0.0816 0.4054 0.2466  1 Zr 2.37, 3 U 2.41-2.50, 2 Pa 2.44
N 0.2404 0.2404 0.7515  1 Zr 2.37, 3 U 2.40-2.48, 2 Pa 2.45
N 0.4054 0.0816 0.2466  1 Zr 2.37, 3 U 2.41-2.50, 2 Pa 2.44
N 0.5946 0.9184 0.7534  1 Zr 2.37, 3 U 2.41-2.50, 2 Pa 2.44
N 0.7596 0.7596 0.2485  1 Zr 2.37, 3 U 2.40-2.48, 2 Pa 2.45
N 0.9184 0.5946 0.7534  1 Zr 2.37, 3 U 2.41-2.50, 2 Pa 2.44

Calculated values
- formation energy from raw total energies (kcal/mol of atoms) = -34.19

No. 3
The following is a DFT calculation (GGA-PBE) of Zr2UPaN4 after structural relaxation.

abc: 5.7736 3.3432 5.9052
angles: 90.00 108.94 90.00
Closest atoms and distances in Å follow each position.
Positions (direct):
Zr 0.0000 0.0000 0.0000  6 N 2.32-2.33
Zr 0.5000 0.5000 0.0000  6 N 2.34
U 0.0000 0.5000 0.5000  6 N 2.42
Pa 0.5000 0.0000 0.5000  6 N 2.43-2.44
N 0.2424 0.5000 0.2343  3 Zr 2.33-2.34, 1 U 2.42, 2 Pa 2.44
N 0.2526 0.0000 0.7638  3 Zr 2.32-2.34, 2 U 2.42, 1 Pa 2.43
N 0.7474 0.0000 0.2362  3 Zr 2.32-2.34, 2 U 2.42, 1 Pa 2.43
N 0.7576 0.5000 0.7657  3 Zr 2.33-2.34, 1 U 2.42, 2 Pa 2.44

Calculated values
- formation energy from raw total energies (kcal/mol of atoms) = -36.78

Per-record M_tot, μB per formula unit: 2.00, 3.88, 1.21